DFT (SCAN) results for a crystal of SrMg2W relaxed with PBEsol.

Summary:
* energy relative to the lowest polymorph listed for this composition: 0 meV/atom
* crystal system: monoclinic
* calculated formation energy: 0.85 eV per atom

Cell: 2.973 5.307 5.994 Å, 96.31 90.00 106.27°
Atoms (fractional coordinates):
W (0.743, 0.486, 0.196)
Mg (0.006, 0.012, 0.026)
Mg (0.256, 0.511, 0.787)
Sr (0.495, 0.991, 0.491)